Compound: TiAu3O
Source: Alexandria via LeMat-Bulk
Functional: PBE-GGA
Structure: relaxed

```
5
Lattice="-1.5793 4.1632 -0.2123 -0.6928 -0.4860 -4.3767 -4.1106 -1.5176 0.8192" Properties=species:S:1:pos:R:3 pbc="T T T"
Au -0.3464 -0.2430 -2.1883
Au -2.0553 -0.7588 0.4096
Au -0.7896 2.0816 -0.1062
O 0.0000 0.0000 0.0000
Ti -3.1914 1.0798 -1.8849
```

Values from the calculation:
N(E_F) (states/eV/atom): 2.809
Calculated volume (Å³/cell): 89
Density (g/cm³): 12.3
Electronic total energy (eV/atom): -4.0198
Formation energy without anion corrections (meV per atom): 517

***

Compound: Ti3AuO
Source: Alexandria via LeMat-Bulk
Functional: PBE-GGA
Structure: relaxed

```
10
Lattice="3.4562 -1.9955 0.0000 0.0000 3.9909 0.0000 0.0000 0.0000 13.7338" Properties=species:S:1:pos:R:3 pbc="T T T"
Au 1.1521 1.9955 10.3004
Au 2.3042 0.0000 3.4335
O 0.0000 0.0000 0.0000
O 0.0000 0.0000 6.8669
Ti 0.0000 0.0000 3.4335
Ti 0.0000 0.0000 10.3004
Ti 1.1521 1.9955 12.9518
Ti 1.1521 1.9955 7.6490
Ti 2.3042 0.0000 6.0849
Ti 2.3042 0.0000 0.7820
```

Values from the calculation:
N(E_F) (states/eV/atom): 1.198
Calculated volume (Å³/cell): 189
Density (g/cm³): 6.3
Electronic total energy (eV/atom): -6.3410
Formation energy without anion corrections (meV per atom): 43

***

Compound: Ti3AuO
Source: Alexandria via LeMat-Bulk
Functional: PBE-GGA
Structure: relaxed

```
5
Lattice="-3.8379 3.0207 -0.4706 -0.7180 -1.6248 -4.5738 -2.9717 -3.5087 1.7129" Properties=species:S:1:pos:R:3 pbc="T T T"
Au 0.0000 0.0000 0.0000
O -3.7638 -1.0564 -1.6658
Ti -0.3590 -0.8124 -2.2869
Ti -1.4858 -1.7543 0.8565
Ti -1.9189 1.5104 -0.2353
```

Values from the calculation:
N(E_F) (states/eV/atom): 0.602
Calculated volume (Å³/cell): 118
Density (g/cm³): 5.0
Electronic total energy (eV/atom): -5.3708
Formation energy without anion corrections (meV per atom): 1013

***

Compound: Ti3AuO
Source: Alexandria via LeMat-Bulk
Functional: PBE-GGA
Structure: relaxed

```
10
Lattice="8.7720 -0.0096 -0.0027 0.5226 2.9722 -0.0001 0.5510 1.4343 5.4854" Properties=species:S:1:pos:R:3 pbc="T T T"
Au 6.6533 2.4244 1.2808
Au 6.2712 2.4918 4.2886
O 0.8585 1.9109 3.4491
O 3.2941 3.0147 2.1228
Ti 4.0089 2.8887 0.1227
Ti 1.7237 1.7584 1.4777
Ti 4.3322 1.3002 2.6668
Ti 2.4288 3.1673 4.0942
Ti 8.9157 2.0274 5.4465
Ti 8.5924 3.6158 2.9025
```

Values from the calculation:
N(E_F) (states/eV/atom): 0.752
Calculated volume (Å³/cell): 143
Density (g/cm³): 8.3
Electronic total energy (eV/atom): -7.6156
Formation energy without anion corrections (meV per atom): -1232

***

Compound: TiAuO2
Source: Alexandria via LeMat-Bulk
Functional: PBE-GGA
Structure: relaxed

```
4
Lattice="1.6892 0.0000 9.2410 -0.8446 1.4628 9.2410 -0.8446 -1.4628 9.2410" Properties=species:S:1:pos:R:3 pbc="T T T"
Au 0.0000 0.0000 0.0000
O 0.0000 0.0000 24.1031
O 0.0000 0.0000 3.6200
Ti 0.0000 0.0000 13.8616
```

Values from the calculation:
N(E_F) (states/eV/atom): 0.079
Calculated volume (Å³/cell): 69
Density (g/cm³): 6.7
Electronic total energy (eV/atom): -7.3130
Formation energy without anion corrections (meV per atom): -2041

***

Compound: Ti3AuO
Source: Alexandria via LeMat-Bulk
Functional: PBE-GGA
Structure: relaxed

```
5
Lattice="-0.5317 3.8560 0.8864 0.1674 -0.8717 3.8923 6.5354 0.9185 -0.0753" Properties=species:S:1:pos:R:3 pbc="T T T"
Au 1.0375 0.1458 -0.0120
O 2.6818 1.8947 2.3563
Ti 4.9604 0.6971 -0.0572
Ti 2.7004 2.3449 0.4090
Ti 3.0499 -0.0190 1.9119
```

Values from the calculation:
N(E_F) (states/eV/atom): 1.090
Calculated volume (Å³/cell): 105
Density (g/cm³): 5.6
Electronic total energy (eV/atom): -6.9222
Formation energy without anion corrections (meV per atom): -538